This record from the Alexandria database describes crystalline HgPb at its relaxed geometry. The functional is GGA-PBEsol.

Unit cell a=3.707 b=5.283 c=6.102 alpha=112.23 beta=107.68 gamma=90.00
Fractional coordinates of all 4 atoms:
Pb 0.614 0.846 0.228
Pb 0.386 0.154 0.772
Hg 0.137 0.365 0.274
Hg 0.863 0.635 0.726

Computed properties:
density of states at the Fermi level = 0.8 states/eV/f.u.
DFT formation energy = 0.00 eV per atom

***

This record from the Alexandria database describes crystalline Hg3Pb at its relaxed geometry. The functional is GGA-PBEsol.

Unit cell a=4.593 b=4.593 c=9.885 alpha=103.43 beta=103.43 gamma=90.00
Fractional coordinates of all 8 atoms:
Hg 0.000 0.500 0.000
Hg 0.500 0.000 0.000
Hg 0.750 0.250 0.500
Hg 0.250 0.750 0.500
Hg 0.873 0.873 0.746
Hg 0.127 0.127 0.254
Pb 0.624 0.624 0.247
Pb 0.376 0.376 0.753

Computed properties:
density of states at the Fermi level = 1.8 states/eV/f.u.
DFT formation energy = 0.02 eV per atom

***

This record from the Alexandria database describes crystalline HgPb at its relaxed geometry. The functional is GGA-PBEsol.

Unit cell a=3.482 b=3.482 c=10.108 alpha=90.00 beta=90.00 gamma=120.00
Fractional coordinates of all 4 atoms:
Pb 0.000 0.000 0.000
Pb 0.000 0.000 0.500
Hg 0.667 0.333 0.750
Hg 0.333 0.667 0.250

Computed properties:
density of states at the Fermi level = 0.8 states/eV/f.u.
DFT formation energy = 0.02 eV per atom

***

This record from the Alexandria database describes crystalline HgPb at its relaxed geometry. The functional is GGA-PBEsol.

Unit cell a=3.734 b=6.136 c=7.599 alpha=107.51 beta=90.00 gamma=107.71
Fractional coordinates of all 6 atoms:
Hg 0.014 0.028 0.035
Hg 0.350 0.701 0.722
Hg 0.382 0.763 0.225
Pb 0.698 0.397 0.369
Pb 0.021 0.042 0.566
Pb 0.701 0.402 0.916

Computed properties:
density of states at the Fermi level = 0.8 states/eV/f.u.
DFT formation energy = 0.01 eV per atom

***

This record from the Alexandria database describes crystalline HgPb3 at its relaxed geometry. The functional is GGA-PBEsol.

Unit cell a=3.408 b=3.408 c=11.242 alpha=90.00 beta=90.00 gamma=120.00
Fractional coordinates of all 4 atoms:
Pb 0.000 0.000 0.500
Pb 0.333 0.667 0.762
Pb 0.333 0.667 0.238
Hg 0.000 0.000 0.000

Computed properties:
density of states at the Fermi level = 1.7 states/eV/f.u.
DFT formation energy = 0.02 eV per atom

***

This record from the Alexandria database describes crystalline HgPb at its relaxed geometry. The functional is GGA-PBEsol.

Unit cell a=3.356 b=3.356 c=10.255 alpha=90.00 beta=90.00 gamma=112.07
Fractional coordinates of all 4 atoms:
Pb 0.250 0.750 0.637
Pb 0.750 0.250 0.363
Hg 0.250 0.750 0.113
Hg 0.750 0.250 0.887

Computed properties:
density of states at the Fermi level = 0.8 states/eV/f.u.
DFT formation energy = 0.02 eV per atom

***

This record from the Alexandria database describes crystalline Hg5Pb3 at its relaxed geometry. The functional is GGA-PBEsol.

Unit cell a=5.815 b=9.152 c=9.152 alpha=120.00 beta=90.00 gamma=90.00
Fractional coordinates of all 16 atoms:
Hg 0.000 0.667 0.333
Hg 0.500 0.333 0.667
Hg 0.000 0.333 0.667
Hg 0.500 0.667 0.333
Hg 0.750 0.794 0.794
Hg 0.250 0.206 0.206
Hg 0.750 0.000 0.206
Hg 0.750 0.206 0.000
Hg 0.250 0.794 0.000
Hg 0.250 0.000 0.794
Pb 0.750 0.394 0.394
Pb 0.250 0.606 0.606
Pb 0.750 0.000 0.606
Pb 0.750 0.606 0.000
Pb 0.250 0.394 0.000
Pb 0.250 0.000 0.394

Computed properties:
density of states at the Fermi level = 3.6 states/eV/f.u.
distance to the lowest polymorph of the same formula = 0.0 meV per atom
DFT formation energy = 0.05 eV per atom

***

This record from the Alexandria database describes crystalline Pr2HgPb at its relaxed geometry. The functional is GGA-PBEsol.

Unit cell a=5.427 b=5.427 c=5.427 alpha=89.97 beta=120.02 gamma=120.02
Fractional coordinates of all 4 atoms:
Pb 0.000 0.500 0.500
Pr 0.500 0.750 0.250
Pr 0.500 0.250 0.750
Hg 0.000 0.000 0.000

Computed properties:
density of states at the Fermi level = 3.0 states/eV/f.u.
DFT formation energy = -0.57 eV per atom

***

This record from the Alexandria database describes crystalline HgPtPb2 at its relaxed geometry. The functional is GGA-PBEsol.

Unit cell a=3.394 b=5.038 c=6.319 alpha=113.49 beta=105.58 gamma=90.00
Fractional coordinates of all 4 atoms:
Hg 0.795 0.295 0.590
Pb 0.998 0.998 0.995
Pb 0.206 0.706 0.413
Pt 0.501 0.501 0.003

Computed properties:
density of states at the Fermi level = 2.3 states/eV/f.u.
DFT formation energy = 0.04 eV per atom

***

This record from the Alexandria database describes crystalline HgPt4Pb at its relaxed geometry. The functional is GGA-PBEsol.

Unit cell a=5.361 b=5.361 c=5.361 alpha=60.00 beta=60.00 gamma=60.00
Fractional coordinates of all 6 atoms:
Pb 0.000 0.000 0.000
Hg 0.750 0.750 0.750
Pt 0.375 0.375 0.375
Pt 0.375 0.375 0.874
Pt 0.874 0.375 0.375
Pt 0.375 0.874 0.375

Computed properties:
density of states at the Fermi level = 5.5 states/eV/f.u.
DFT formation energy = -0.03 eV per atom

***

This record from the Alexandria database describes crystalline HgPt2Pb at its relaxed geometry. The functional is GGA-PBEsol.

Unit cell a=3.557 b=3.557 c=5.904 alpha=90.00 beta=90.00 gamma=90.00
Fractional coordinates of all 4 atoms:
Hg 0.500 0.500 0.000
Pb 0.500 0.500 0.500
Pt 0.000 0.000 0.761
Pt 0.000 0.000 0.239

Computed properties:
density of states at the Fermi level = 1.1 states/eV/f.u.
DFT formation energy = 0.04 eV per atom

***

This record from the Alexandria database describes crystalline HgPtPb2 at its relaxed geometry. The functional is GGA-PBEsol.

Unit cell a=3.706 b=4.973 c=4.973 alpha=90.00 beta=90.00 gamma=90.00
Fractional coordinates of all 4 atoms:
Hg 0.500 0.000 0.000
Pb 0.000 0.000 0.500
Pb 0.000 0.500 0.000
Pt 0.500 0.500 0.500

Computed properties:
density of states at the Fermi level = 1.8 states/eV/f.u.
DFT formation energy = 0.09 eV per atom

***

> Number 11 is which compound?

HgPt2Pb

***

> Number 5 is which compound?

HgPb3